Run A
Material: SiSnS2
Method: DFT, PBE
State: relaxed

Unit cell a=8.656 b=8.656 c=8.656 alpha=22.63 beta=22.63 gamma=22.63
Fractional positions:
Si 0.500 0.500 0.500
Sn 0.000 0.000 0.000
S 0.885 0.885 0.885
S 0.115 0.115 0.115

Output
The space group is R-3m.

---

Run B
Material: SiSnS2
Method: DFT, PBE
State: relaxed

Unit cell a=7.025 b=7.025 c=6.056 alpha=54.55 beta=54.55 gamma=90.00
Fractional positions:
S 0.375 0.425 0.750
S 0.575 0.125 0.250
S 0.875 0.825 0.750
S 0.175 0.625 0.250
Sn 0.000 0.000 0.000
Sn 0.750 0.250 0.500
Si 0.250 0.750 0.500
Si 0.500 0.500 0.000

Output
The space group is I-42d.

---

Run C
Material: SiSnS2
Method: DFT, PBE
State: relaxed

Unit cell a=4.769 b=4.769 c=4.769 alpha=60.00 beta=60.00 gamma=60.00
Fractional positions:
Si 0.000 0.000 0.000
Sn 0.500 0.500 0.500
S 0.750 0.750 0.750
S 0.250 0.250 0.250

Output
The space group is Fm-3m.

---

Short version: run A is the most stable of them.